Entry 1:
! Ga2FeNi9 (PBE, optimized geometry); values from VASP
! - energy relative to the elements (meV per atom) = -225
! - space group = P4/mmm
&SYSTEM
  ibrav = 0, nat = 12, ntyp = 3
/
ATOMIC_SPECIES
Ga 69.72 Ga.upf
Fe 55.84 Fe.upf
Ni 58.69 Ni.upf
ATOMIC_POSITIONS crystal
Ga 0.000 0.000 0.333
Ga 0.000 0.000 0.667
Fe 0.000 0.000 0.000
Ni 0.500 0.500 0.000
Ni 0.500 0.500 0.332
Ni 0.500 0.500 0.668
Ni 0.500 0.000 0.162
Ni 0.500 0.000 0.500
Ni 0.500 0.000 0.838
Ni 0.000 0.500 0.162
Ni 0.000 0.500 0.500
Ni 0.000 0.500 0.838
CELL_PARAMETERS angstrom
3.574 0.000 0.000
0.000 3.574 0.000
0.000 0.000 10.665

***

Entry 2:
! K2BeS2 (PBE, optimized geometry); values from VASP
! - polymorph energy (0 for the lowest one) (meV per atom) = 19
! - space group = C2/m
! - formation energy (no corrections) (eV/atom) = -1.124
&SYSTEM
  ibrav = 0, nat = 10, ntyp = 3
/
ATOMIC_SPECIES
K 39.10 K.upf
Be 9.01 Be.upf
S 32.06 S.upf
ATOMIC_POSITIONS crystal
K 0.677 0.355 0.538
K 0.323 0.645 0.462
K 0.096 0.193 0.807
K 0.904 0.807 0.193
Be 0.383 0.767 0.852
Be 0.617 0.233 0.148
S 0.194 0.389 0.614
S 0.806 0.611 0.386
S 0.446 0.893 0.102
S 0.554 0.107 0.898
CELL_PARAMETERS angstrom
6.076 0.000 0.000
-3.038 6.767 -1.615
0.000 -5.249 8.787

***

Entry 3:
! PuCo6Ge6 (PBE, optimized geometry); values from VASP
! - energy relative to the elements (meV per atom) = -277
! - space group = Immm
&SYSTEM
  ibrav = 0, nat = 13, ntyp = 3
/
ATOMIC_SPECIES
Pu 244.00 Pu.upf
Co 58.93 Co.upf
Ge 72.64 Ge.upf
ATOMIC_POSITIONS crystal
Pu 0.000 0.000 0.000
Co 0.000 0.500 0.000
Co 0.500 0.500 0.000
Co 0.000 0.000 0.500
Co 0.500 0.000 0.500
Co 0.500 0.745 0.255
Co 0.500 0.255 0.745
Ge 0.335 0.665 0.665
Ge 0.665 0.335 0.335
Ge 0.000 0.346 0.654
Ge 0.000 0.654 0.346
Ge 0.332 0.168 0.168
Ge 0.668 0.832 0.832
CELL_PARAMETERS angstrom
5.097 0.000 0.000
2.548 5.913 0.247
2.548 0.388 5.906

***

Entry 4:
! La2InSi2Rh5 (PBE, optimized geometry); values from VASP
! - space group = P4/mbm
! - formation energy (no corrections) (eV/atom) = -0.856
&SYSTEM
  ibrav = 0, nat = 20, ntyp = 4
/
ATOMIC_SPECIES
La 138.91 La.upf
In 114.82 In.upf
Si 28.09 Si.upf
Rh 102.91 Rh.upf
ATOMIC_POSITIONS crystal
La 0.000 0.678 0.178
La 0.000 0.322 0.822
La 0.000 0.178 0.322
La 0.000 0.822 0.678
In 0.000 0.000 0.000
In 0.000 0.500 0.500
Si 0.000 0.120 0.620
Si 0.000 0.880 0.380
Si 0.000 0.620 0.880
Si 0.000 0.380 0.120
Rh 0.500 0.223 0.069
Rh 0.500 0.777 0.931
Rh 0.500 0.069 0.777
Rh 0.500 0.723 0.431
Rh 0.500 0.931 0.223
Rh 0.500 0.277 0.569
Rh 0.500 0.569 0.723
Rh 0.500 0.431 0.277
Rh 0.500 0.500 0.000
Rh 0.500 0.000 0.500
CELL_PARAMETERS angstrom
3.544 0.000 0.000
0.000 10.114 0.000
0.000 0.000 10.114

***

Entry 5:
! BaLiEu2 (PBE, optimized geometry); values from VASP
! - energy relative to the elements (meV per atom) = 132
! - polymorph energy (0 for the lowest one) (meV per atom) = 67
! - space group = R-3m
&SYSTEM
  ibrav = 0, nat = 4, ntyp = 3
/
ATOMIC_SPECIES
Eu 151.96 Eu.upf
Ba 137.33 Ba.upf
Li 6.94 Li.upf
ATOMIC_POSITIONS crystal
Eu 0.739 0.739 0.782
Eu 0.261 0.261 0.218
Ba 0.500 0.500 0.500
Li 0.000 0.000 0.000
CELL_PARAMETERS angstrom
-3.546 -1.539 -1.034
-0.261 -2.522 -3.096
0.676 -11.015 6.331

***

Entry 6:
! Tl2Zn2Au (PBE, optimized geometry); values from VASP
! - energy relative to the elements (meV per atom) = 122
! - polymorph energy (0 for the lowest one) (meV per atom) = 90
! - space group = I4/mmm
&SYSTEM
  ibrav = 0, nat = 5, ntyp = 3
/
ATOMIC_SPECIES
Tl 204.38 Tl.upf
Au 196.97 Au.upf
Zn 65.41 Zn.upf
ATOMIC_POSITIONS crystal
Tl 0.400 0.400 0.200
Tl 0.600 0.600 0.800
Au 0.000 0.000 0.000
Zn 0.750 0.250 0.500
Zn 0.250 0.750 0.500
CELL_PARAMETERS angstrom
3.628 0.000 0.000
0.000 3.628 0.000
1.814 1.814 8.920

***

Entry 7:
! GaCu8Au2 (PBE, optimized geometry); values from VASP
! - energy relative to the elements (meV per atom) = 175
! - polymorph energy (0 for the lowest one) (meV per atom) = 223
! - space group = C2/m
&SYSTEM
  ibrav = 0, nat = 11, ntyp = 3
/
ATOMIC_SPECIES
Ga 69.72 Ga.upf
Cu 63.55 Cu.upf
Au 196.97 Au.upf
ATOMIC_POSITIONS crystal
Ga 0.000 0.000 0.000
Cu 0.050 0.136 0.594
Cu 0.950 0.406 0.864
Cu 0.793 0.280 0.280
Cu 0.207 0.720 0.720
Cu 0.050 0.594 0.136
Cu 0.950 0.864 0.406
Cu 0.282 0.461 0.461
Cu 0.718 0.539 0.539
Au 0.394 0.160 0.160
Au 0.606 0.840 0.840
CELL_PARAMETERS angstrom
-0.686 0.062 4.686
-5.768 -2.366 1.142
1.067 -5.852 2.189

***

Entry 8:
! HoAlOs (PBE, optimized geometry); values from VASP
! - energy relative to the elements (meV per atom) = -107
! - space group = Fdd2
&SYSTEM
  ibrav = 0, nat = 6, ntyp = 3
/
ATOMIC_SPECIES
Os 190.23 Os.upf
Al 26.98 Al.upf
Ho 164.93 Ho.upf
ATOMIC_POSITIONS crystal
Os 0.064 0.936 0.500
Os 0.314 0.686 0.000
Al 0.366 0.634 0.500
Al 0.616 0.384 0.000
Ho 0.976 0.024 0.000
Ho 0.726 0.274 0.500
CELL_PARAMETERS angstrom
5.016 0.142 0.000
-2.283 4.468 0.000
-1.366 -2.305 4.989

***

Entry 9:
! Pr6Rh2SeCl3 (PBE, optimized geometry); values from VASP
! - space group = C2/m
! - formation energy (no corrections) (eV/atom) = -1.295
&SYSTEM
  ibrav = 0, nat = 12, ntyp = 4
/
ATOMIC_SPECIES
Pr 140.91 Pr.upf
Rh 102.91 Rh.upf
Se 78.96 Se.upf
Cl 35.45 Cl.upf
ATOMIC_POSITIONS crystal
Pr 0.927 0.571 0.784
Pr 0.715 0.715 0.212
Pr 0.073 0.429 0.216
Pr 0.571 0.927 0.784
Pr 0.285 0.285 0.788
Pr 0.429 0.073 0.216
Rh 0.332 0.668 0.000
Rh 0.668 0.332 0.000
Se 0.000 0.000 0.000
Cl 0.157 0.843 0.500
Cl 0.843 0.157 0.500
Cl 0.500 0.500 0.500
CELL_PARAMETERS angstrom
7.332 0.010 0.001
-3.656 6.356 0.001
-1.225 -2.120 7.274

***

Entry 10:
! In2FeAg (PBE, optimized geometry); values from VASP
! - energy relative to the elements (meV per atom) = 209
! - polymorph energy (0 for the lowest one) (meV per atom) = 4
! - space group = Cm
&SYSTEM
  ibrav = 0, nat = 4, ntyp = 3
/
ATOMIC_SPECIES
Ag 107.87 Ag.upf
Fe 55.84 Fe.upf
In 114.82 In.upf
ATOMIC_POSITIONS crystal
Ag 0.527 0.527 0.540
Fe 0.240 0.240 0.182
In 0.975 0.975 0.082
In 0.758 0.758 0.695
CELL_PARAMETERS angstrom
5.635 -0.023 0.133
4.844 2.879 0.133
1.550 0.422 4.708

***

Entry 11:
! Dy5TmGa6 (PBE, optimized geometry); values from VASP
! - energy relative to the elements (meV per atom) = -581
! - space group = Cmmm
&SYSTEM
  ibrav = 0, nat = 12, ntyp = 3
/
ATOMIC_SPECIES
Tm 168.93 Tm.upf
Ga 69.72 Ga.upf
Dy 162.50 Dy.upf
ATOMIC_POSITIONS crystal
Tm 0.000 0.000 0.000
Ga 0.834 0.752 0.331
Ga 0.834 0.248 0.331
Ga 0.500 0.249 0.000
Ga 0.500 0.751 0.000
Ga 0.166 0.752 0.669
Ga 0.166 0.248 0.669
Dy 0.668 0.500 0.665
Dy 0.334 0.000 0.332
Dy 0.000 0.500 0.000
Dy 0.666 0.000 0.668
Dy 0.332 0.500 0.335
CELL_PARAMETERS angstrom
-1.998 -4.477 -1.158
6.371 -2.275 -2.196
0.521 -4.717 6.398

***

Entry 12:
! ScHg2 (PBE, optimized geometry); values from VASP
! - energy relative to the elements (meV per atom) = -163
! - space group = P4/mmm
&SYSTEM
  ibrav = 0, nat = 3, ntyp = 2
/
ATOMIC_SPECIES
Hg 200.59 Hg.upf
Sc 44.96 Sc.upf
ATOMIC_POSITIONS crystal
Hg 0.000 0.500 0.500
Hg 0.500 0.000 0.500
Sc 0.000 0.000 0.000
CELL_PARAMETERS angstrom
-4.370 2.316 0.882
-1.919 -4.294 1.766
1.013 0.775 2.984

***

For the records above, the corresponding spin magnetization values read 6.28; 0.00; 5.25; 0.00; 15.33; 0.00; 0.00; 0.00; 0.00; 2.44; 0.00; 0.00 μB per formula unit.